The following is a PBE calculation of a relaxed Er3Th5Sc crystal, from the Alexandria database.

## Properties
The value obtained for the total moment is 0.0 μB/f.u. For the mass density, the calculation gives 9.73 g/cm3. The formation energy from the elements comes out at 43.4 kJ/mol of atoms. As for the total energy: -53.07 eV/f.u. The space-group type is No. 140.

Unit cell a=9.4925 b=9.4925 c=9.4925 alpha=122.28 beta=122.28 gamma=86.10
With the nearest neighbours (Å) after each atom.
Fractional coordinates of all 18 atoms:
Er 0.1054 0.6054 0.7108  1 Er 2.73
Er 0.2500 0.2500 0.0000  10 Th 3.47-3.68
Er 0.3946 0.1054 0.5000  1 Er 2.73
Er 0.6054 0.8946 0.5000  1 Er 2.73
Er 0.7500 0.7500 0.0000  10 Th 3.47-3.68
Er 0.8946 0.3946 0.2892  1 Er 2.73
Th 0.0000 0.0000 0.0000  6 Er 3.47-3.74, 8 Th 3.76
Th 0.0734 0.1648 0.5000  1 Er 3.06, 1 Sc 3.12
Th 0.1648 0.6648 0.0914  1 Er 3.06, 1 Sc 3.12
Th 0.3352 0.4266 0.5000  1 Er 3.06, 1 Sc 3.12
Th 0.4266 0.9266 0.0914  1 Er 3.06, 1 Sc 3.12
Th 0.5000 0.5000 0.0000  6 Er 3.47-3.74, 8 Th 3.76
Th 0.5734 0.0734 0.9086  1 Er 3.06, 1 Sc 3.12
Th 0.6648 0.5734 0.5000  1 Er 3.06, 1 Sc 3.12
Th 0.8352 0.3352 0.9086  1 Er 3.06, 1 Sc 3.12
Th 0.9266 0.8352 0.5000  1 Er 3.06, 1 Sc 3.12
Sc 0.2500 0.7500 0.5000  4 Th 3.12
Sc 0.7500 0.2500 0.5000  4 Th 3.12